Below is crystalline Ca2BS at its relaxed geometry, with properties calculated at the GGA-PBEsol level.

a = 6.188 Å, b = 6.188 Å, c = 6.188 Å
α = 110.08°, β = 110.08°, γ = 108.26°
Sites, in units of the cell vectors:
Ca 0.121 0.125 0.496
Ca 0.375 0.879 0.004
Ca 0.629 0.625 0.504
Ca 0.875 0.371 0.996
B 0.000 0.000 0.000
B 0.750 0.250 0.500
S 0.250 0.750 0.500
S 0.500 0.500 0.000

Calculated values
Uncorrected energy in eV per atom: -4.16
Uncorrected formation energy in kJ/mol of formula units: -95
D(E_F) in states/eV/cell: 4.27
Calculated volume in Å³/atom: 22.79
SG: I-42d (122)